# CaNi3 (PBE, optimized geometry)
data_CaNi3
_chemical_formula_sum 'Ca1 Ni3'
_symmetry_space_group_name_H-M 'P m m 2'
_symmetry_Int_Tables_number 25
_cell_length_a 2.809
_cell_length_b 4.137
_cell_length_c 5.139
_cell_angle_alpha 90.00
_cell_angle_beta 90.00
_cell_angle_gamma 90.00
loop_
_symmetry_equiv_pos_as_xyz
'x,y,z'
'-x,-y,z'
'-x,y,z'
'x,-y,z'
loop_
_atom_site_label
_atom_site_fract_x
_atom_site_fract_y
_atom_site_fract_z
Ca1 0.000 0.000 0.000
Ni1 0.000 0.500 0.385
Ni2 0.500 0.000 0.492
Ni3 0.500 0.500 0.757
# * DFT formation energy: 209 meV per atom
# * calculated total energy: -18.51 eV/cell